# CsPRuS2, optimized geometry, DFT PBE-GGA
data_CsPRuS2
_chemical_formula_sum 'Cs1 P1 Ru1 S2'
_cell_length_a 5.350
_cell_length_b 5.350
_cell_length_c 5.680
_cell_angle_alpha 90.00
_cell_angle_beta 90.00
_cell_angle_gamma 90.00
_space_group_name_H-M_alt 'P 4/m m m'
_space_group_IT_number 123
_space_group_name_Hall '-P 4 2'
loop_
_atom_site_label
_atom_site_fract_x
_atom_site_fract_y
_atom_site_fract_z
Cs1 0.000 0.000 0.000
P1 0.000 0.000 0.500
Ru1 0.500 0.500 0.500
S1 0.000 0.500 0.000
# DOS at the Fermi energy (states/eV/cell): 3.6
# E (eV per atom): -2.4897
# ΔE to the lowest computed polymorph (meV/atom): 2229
# Raw formation energy (kJ/mol of atoms): 218.9
# Total moment (Bohr magnetons per cell): 4.9

# CsPS2, optimized geometry, DFT PBE-GGA
data_CsPS2
_chemical_formula_sum 'Cs4 P4 S8'
_cell_length_a 7.141
_cell_length_b 7.141
_cell_length_c 10.256
_cell_angle_alpha 90.00
_cell_angle_beta 90.00
_cell_angle_gamma 90.00
_space_group_name_H-M_alt 'I -4 2 d'
_space_group_IT_number 122
_space_group_name_Hall 'I -4 2bw'
loop_
_atom_site_label
_atom_site_fract_x
_atom_site_fract_y
_atom_site_fract_z
Cs1 0.000 0.000 0.000
P1 0.000 0.000 0.500
S1 0.079 0.250 0.625
# DOS at the Fermi energy (states/eV/cell): 0.1
# E (eV per atom): -4.0693
# Raw formation energy (kJ/mol of atoms): -42.4
# Total moment (Bohr magnetons per cell): 0.0